Below is a geometry-optimized Sc4SCl5 structure, with properties calculated at the GGA-PBE level.

Cell: 3.682 7.461 8.348 Å, 102.79 102.74 90.00°
Positions (direct):
Cl (0.836, 0.671, 0.671)
Cl (0.173, 0.841, 0.345)
Cl (0.500, 0.500, 0.000)
Cl (0.164, 0.329, 0.329)
Cl (0.827, 0.159, 0.655)
Sc (0.650, 0.080, 0.301)
Sc (0.000, 0.781, 0.000)
Sc (0.000, 0.219, 0.000)
Sc (0.350, 0.920, 0.699)
S (0.500, 0.000, 0.000)

## Properties
Formation energy (no corrections) = -1.80 eV/atom